1.
# NaSbTe

A relaxed structure of NaSbTe (GGA-PBE, Alexandria via LeMat-Bulk).

Lattice parameters (Å, degrees): 9.731 4.403 10.933 90.00 109.68 90.00
Fractional coordinates of all 12 atoms:
Na 0.110 0.040 0.406
Na 0.890 0.040 0.594
Na 0.110 0.540 0.906
Na 0.890 0.540 0.094
Sb 0.550 0.405 0.187
Sb 0.450 0.405 0.813
Sb 0.550 0.905 0.687
Sb 0.450 0.905 0.313
Te 0.834 0.526 0.363
Te 0.166 0.526 0.637
Te 0.834 0.026 0.863
Te 0.166 0.026 0.137

Results
Crystal system   monoclinic
SG   No. 5
Formation energy (no corrections)   -1.2 eV/f.u.
E above lowest polymorph   0.044 eV/atom

=====

2.
# SnBi5Pb2

A relaxed structure of SnBi5Pb2 (GGA-PBE, Alexandria via LeMat-Bulk).

Lattice parameters (Å, degrees): 8.763 8.759 7.058 128.16 128.38 90.00
Fractional coordinates of all 8 atoms:
Sn 0.147 0.148 0.295
Bi 0.737 0.224 0.959
Bi 0.222 0.224 0.959
Bi 0.745 0.747 0.979
Bi 0.233 0.747 0.979
Bi 0.616 0.610 0.232
Pb 0.288 0.784 0.575
Pb 0.788 0.293 0.575

Results
Crystal system   monoclinic
SG   No. 8
Formation energy   0.05 eV/atom